[1]
Entry from Alexandria: a relaxed Li3Al4Ag2 crystal (GGA-PBE).

a b c (Å): 4.412 5.230 7.633
angles (deg): 76.63 89.89 65.07
Element x y z (fractional)
Li1 0.000 0.000 0.000
Li2 0.462 0.077 0.673
Li3 0.538 0.923 0.327
Al1 0.149 0.703 0.562
Al2 0.314 0.372 0.941
Al3 0.686 0.628 0.059
Al4 0.851 0.297 0.438
Ag1 0.244 0.512 0.262
Ag2 0.756 0.488 0.738

Values from the calculation:
DOS at the Fermi energy in states/eV per atom: 0.238
DFT formation energy in eV per atom: -0.1632
Size of the total moment in μB per formula unit: 0.00
Density in g/cm³: 3.703
Volume in Å³/atom: 17.2
Symmetry: P-1

***

[2]
Entry from Alexandria: a relaxed U2TlF11 crystal (GGA-PBE).

a b c (Å): 9.406 9.406 9.406
angles (deg): 118.13 113.14 97.80
Element x y z (fractional)
U1 0.164 0.156 0.320
U2 0.336 0.656 0.992
U3 0.664 0.344 0.008
U4 0.836 0.844 0.680
Tl1 0.250 0.750 0.500
Tl2 0.750 0.250 0.500
F1 0.000 0.000 0.000
F2 0.055 0.855 0.674
F3 0.111 0.439 0.791
F4 0.147 0.939 0.327
F5 0.181 0.381 0.326
F6 0.200 0.811 0.011
F7 0.300 0.311 0.611
F8 0.319 0.645 0.200
F9 0.353 0.680 0.791
F10 0.389 0.180 0.327
F11 0.445 0.119 0.800
F12 0.500 0.500 0.000
F13 0.555 0.881 0.200
F14 0.611 0.820 0.673
F15 0.647 0.320 0.209
F16 0.681 0.355 0.800
F17 0.700 0.689 0.389
F18 0.800 0.189 0.989
F19 0.819 0.619 0.674
F20 0.853 0.061 0.673
F21 0.889 0.561 0.209
F22 0.945 0.145 0.326

Values from the calculation:
Size of the total moment in μB per formula unit: 2.00
Density in g/cm³: 4.765
Volume in Å³/atom: 22.1
Symmetry: Ibam
Total DFT energy (no corrections) in eV/atom: -6.588

***

volume of number 2 (U2TlF11)? 22.1 Å³/atom